No. 1
This record from Alexandria via LeMat-Bulk describes a relaxed structure of Tb12AlNi6. The functional is PBE-GGA.

energy of formation = -331 meV per atom
DOS at the Fermi energy = 17.03 states/eV/f.u.

Lattice parameters (Å, degrees): 8.4107 8.4107 8.4107 109.47 109.47 109.47
Atoms (fractional coordinates):
Ni 0.3764 0.5000 0.8764
Tb 0.3021 0.1159 0.8138
Ni 0.5000 0.1236 0.6236
Tb 0.1159 0.8138 0.3021
Tb 0.1862 0.6979 0.8841
Tb 0.3021 0.4884 0.1862
Ni 0.1236 0.6236 0.5000
Tb 0.8138 0.6979 0.5116
Tb 0.6979 0.8841 0.1862
Al 0.0000 0.0000 0.0000
Ni 0.5000 0.8764 0.3764
Tb 0.8841 0.1862 0.6979
Tb 0.4884 0.1862 0.3021
Tb 0.6979 0.5116 0.8138
Ni 0.6236 0.5000 0.1236
Tb 0.5116 0.8138 0.6979
Tb 0.8138 0.3021 0.1159
Tb 0.1862 0.3021 0.4884
Ni 0.8764 0.3764 0.5000

***

No. 2
This record from Alexandria via LeMat-Bulk describes a relaxed structure of Li2Pr2UN4. The functional is PBE-GGA.

uncorrected formation energy = -89.8 kJ per mole of atoms
DOS at the Fermi energy = 4.17 states/eV/f.u.

Lattice parameters (Å, degrees): 3.4400 6.4640 6.0199 108.35 90.00 105.43
Atoms (fractional coordinates):
N 0.7995 0.5989 0.7924
N 0.5285 0.0570 0.7710
Pr 0.1400 0.2800 0.5694
N 0.2005 0.4011 0.2076
U 0.0000 0.0000 0.0000
Li 0.3144 0.6287 0.9948
Li 0.6856 0.3713 0.0052
Pr 0.8600 0.7200 0.4306
N 0.4715 0.9430 0.2290

***

No. 3
This record from Alexandria via LeMat-Bulk describes a relaxed structure of AcCoH3. The functional is PBE-GGA.

energy relative to the lowest polymorph listed for this composition = 0.000 eV per atom
DOS at the Fermi energy = 1.35 states/eV/f.u.

Lattice parameters (Å, degrees): 5.0584 5.7989 8.0640 91.21 90.00 90.00
Atoms (fractional coordinates):
H 0.2500 0.4957 0.2415
H 0.7500 0.0043 0.2585
Ac 0.7500 0.9968 0.6954
Co 0.2500 0.5043 0.4427
H 0.4909 0.8222 0.0128
Co 0.7500 0.9957 0.0573
H 0.2500 0.9957 0.7415
H 0.9909 0.1778 0.9871
H 0.5091 0.6778 0.4871
Ac 0.7500 0.4968 0.1954
Co 0.7500 0.4957 0.5573
H 0.7500 0.5043 0.7585
H 0.9909 0.6778 0.4872
H 0.0091 0.3222 0.5128
Ac 0.2500 0.0032 0.3046
H 0.4909 0.3222 0.5129
Co 0.2500 0.0043 0.9427
H 0.5091 0.1778 0.9872
Ac 0.2500 0.5032 0.8046
H 0.0091 0.8222 0.0129

***

No. 4
This record from Alexandria via LeMat-Bulk describes a relaxed structure of PmDy4. The functional is PBE-GGA.

energy relative to the lowest polymorph listed for this composition = 0.000 eV per atom
energy of formation = 16 meV per atom
DOS at the Fermi energy = 6.39 states/eV/f.u.

Lattice parameters (Å, degrees): 3.5627 3.5627 14.6415 83.10 83.10 60.02
Atoms (fractional coordinates):
Dy 0.4006 0.4006 0.7971
Pm 0.0000 0.0000 0.0000
Dy 0.1998 0.1998 0.4008
Dy 0.8002 0.8002 0.5992
Dy 0.5994 0.5994 0.2029

***

No. 5
This record from Alexandria via LeMat-Bulk describes a relaxed structure of NaZr. The functional is PBE-GGA.

energy relative to the lowest polymorph listed for this composition = 0.194 eV per atom
energy of formation = 377 meV per atom
DOS at the Fermi energy = 2.23 states/eV/f.u.

Lattice parameters (Å, degrees): 12.1053 12.1053 3.1112 90.00 90.00 90.00
Atoms (fractional coordinates):
Zr 0.3431 0.5942 0.0000
Na 0.1396 0.1654 0.5000
Na 0.8346 0.1396 0.5000
Zr 0.5737 0.2068 0.5000
Zr 0.7932 0.5737 0.5000
Na 0.6313 0.9426 0.0000
Na 0.8604 0.8346 0.5000
Na 0.9426 0.3687 0.0000
Zr 0.5942 0.6569 0.0000
Na 0.1654 0.8604 0.5000
Na 0.3687 0.0574 0.0000
Zr 0.2068 0.4263 0.5000
Zr 0.4263 0.7932 0.5000
Zr 0.4058 0.3431 0.0000
Zr 0.6569 0.4058 0.0000
Na 0.0574 0.6313 0.0000

***

No. 6
This record from Alexandria via LeMat-Bulk describes a relaxed structure of MgIn3Pd. The functional is PBE-GGA.

energy relative to the lowest polymorph listed for this composition = 0.065 eV per atom
energy of formation = -224 meV per atom
DOS at the Fermi energy = 1.87 states/eV/f.u.

Lattice parameters (Å, degrees): 6.6016 6.6016 7.1440 105.01 119.73 100.56
Atoms (fractional coordinates):
Mg 0.6913 0.0674 0.7588
In 0.7334 0.4225 0.1559
Mg 0.3087 0.9326 0.2412
Pd 0.3449 0.2496 0.5944
In 0.7600 0.6131 0.7737
In 0.8394 0.9862 0.2263
In 0.2400 0.3869 0.2263
In 0.1606 0.0138 0.7737
In 0.2666 0.5775 0.8441
Pd 0.6551 0.7504 0.4056

***

No. 7
This record from Alexandria via LeMat-Bulk describes a relaxed structure of CaCuSe2N. The functional is PBE-GGA.

uncorrected formation energy = -2.8 kJ per mole of atoms
energy relative to the lowest polymorph listed for this composition = 0.000 eV per atom
DOS at the Fermi energy = 3.65 states/eV/f.u.

Lattice parameters (Å, degrees): 5.1103 5.1103 3.6866 90.00 90.00 90.00
Atoms (fractional coordinates):
Ca 0.5000 0.5000 0.5000
Cu 0.0000 0.0000 0.0000
Se 0.0000 0.5000 0.0000
N 0.0000 0.0000 0.5000
Se 0.5000 0.0000 0.0000

***

No. 8
This record from Alexandria via LeMat-Bulk describes a relaxed structure of SrLiTa. The functional is PBE-GGA.

energy relative to the lowest polymorph listed for this composition = 0.000 eV per atom
energy of formation = 373 meV per atom
DOS at the Fermi energy = 4.29 states/eV/f.u.

Lattice parameters (Å, degrees): 3.6024 3.6024 12.7905 90.00 90.00 90.00
Atoms (fractional coordinates):
Sr 0.5000 0.5000 0.1012
Ta 0.5000 0.5000 0.6365
Li 0.5000 0.5000 0.4175
Ta 0.0000 0.0000 0.5547
Li 0.0000 0.0000 0.3039
Sr 0.0000 0.0000 0.8234